Crystalline Ac3Cr5F12 at its relaxed geometry. Source: Alexandria via LeMat-Bulk, functional PBE+U.

abc: 12.3648 12.3648 12.3648
angles: 109.47 109.47 109.47
Closest atoms and distances in Å follow each position.
Positions (direct):
1 Ac 0.1250 0.2500 0.3750  8 F 2.57-2.60
2 Ac 0.1250 0.3750 0.7500  8 F 2.57-2.60
3 Ac 0.2500 0.3750 0.1250  8 F 2.57-2.60
4 Ac 0.2500 0.8750 0.6250  8 F 2.57-2.60
5 Ac 0.3750 0.1250 0.2500  8 F 2.57-2.60
6 Ac 0.3750 0.7500 0.1250  8 F 2.57-2.60
7 Ac 0.6250 0.2500 0.8750  8 F 2.57-2.60
8 Ac 0.6250 0.8750 0.7500  8 F 2.57-2.60
9 Ac 0.7500 0.1250 0.3750  8 F 2.57-2.60
10 Ac 0.7500 0.6250 0.8750  8 F 2.57-2.60
11 Ac 0.8750 0.6250 0.2500  8 F 2.57-2.60
12 Ac 0.8750 0.7500 0.6250  8 F 2.57-2.60
13 Cr 0.0000 0.0000 0.0000  6 F 2.43
14 Cr 0.0000 0.0000 0.5000  6 F 2.43
15 Cr 0.0000 0.5000 0.0000  6 F 2.43
16 Cr 0.0000 0.5000 0.5000  6 F 2.43
17 Cr 0.1250 0.7500 0.8750  4 F 2.37
18 Cr 0.1250 0.8750 0.2500  4 F 2.37
19 Cr 0.2500 0.1250 0.8750  4 F 2.37
20 Cr 0.2500 0.6250 0.3750  4 F 2.37
21 Cr 0.3750 0.2500 0.6250  4 F 2.37
22 Cr 0.3750 0.6250 0.7500  4 F 2.37
23 Cr 0.5000 0.0000 0.0000  6 F 2.43
24 Cr 0.5000 0.0000 0.5000  6 F 2.43
25 Cr 0.5000 0.5000 0.0000  6 F 2.43
26 Cr 0.5000 0.5000 0.5000  6 F 2.43
27 Cr 0.6250 0.3750 0.2500  4 F 2.37
28 Cr 0.6250 0.7500 0.3750  4 F 2.37
29 Cr 0.7500 0.3750 0.6250  4 F 2.37
30 Cr 0.7500 0.8750 0.1250  4 F 2.37
31 Cr 0.8750 0.1250 0.7500  4 F 2.37
32 Cr 0.8750 0.2500 0.1250  4 F 2.37
33 F 0.0617 0.2264 0.1425  2 Cr 2.37-2.43, 2 Ac 2.57-2.60, 1 F 2.63
34 F 0.0617 0.3353 0.9192  2 Cr 2.37-2.43, 2 Ac 2.57-2.60, 1 F 2.63
35 F 0.0808 0.6425 0.4161  2 Cr 2.37-2.43, 2 Ac 2.57-2.60, 1 F 2.63
36 F 0.0808 0.9383 0.6647  2 Cr 2.37-2.43, 2 Ac 2.57-2.60, 1 F 2.63
37 F 0.0839 0.7264 0.6647  2 Cr 2.37-2.43, 2 Ac 2.57-2.60, 1 F 2.63
38 F 0.0839 0.8575 0.4192  2 Cr 2.37-2.43, 2 Ac 2.57-2.60, 1 F 2.63
39 F 0.1425 0.0617 0.2264  2 Cr 2.37-2.43, 2 Ac 2.57-2.60, 1 F 2.63
40 F 0.1425 0.5808 0.9161  2 Cr 2.37-2.43, 2 Ac 2.57-2.60, 1 F 2.63
41 F 0.1647 0.2264 0.5839  2 Cr 2.37-2.43, 2 Ac 2.57-2.60, 1 F 2.63
42 F 0.1647 0.4383 0.5808  2 Cr 2.37-2.43, 2 Ac 2.57-2.60, 1 F 2.63
43 F 0.2264 0.1425 0.0617  2 Cr 2.37-2.43, 2 Ac 2.57-2.60, 1 F 2.63
44 F 0.2264 0.5839 0.1647  2 Cr 2.37-2.43, 2 Ac 2.57-2.60, 1 F 2.63
45 F 0.2736 0.3353 0.9161  2 Cr 2.37-2.43, 2 Ac 2.57-2.60, 1 F 2.63
46 F 0.2736 0.4383 0.3575  2 Cr 2.37-2.43, 2 Ac 2.57-2.60, 1 F 2.63
47 F 0.3353 0.9161 0.2736  2 Cr 2.37-2.43, 2 Ac 2.57-2.60, 1 F 2.63
48 F 0.3353 0.9192 0.0617  2 Cr 2.37-2.43, 2 Ac 2.57-2.60, 1 F 2.63
49 F 0.3575 0.2736 0.4383  2 Cr 2.37-2.43, 2 Ac 2.57-2.60, 1 F 2.63
50 F 0.3575 0.5839 0.9192  2 Cr 2.37-2.43, 2 Ac 2.57-2.60, 1 F 2.63
51 F 0.4161 0.0808 0.6425  2 Cr 2.37-2.43, 2 Ac 2.57-2.60, 1 F 2.63
52 F 0.4161 0.8353 0.7736  2 Cr 2.37-2.43, 2 Ac 2.57-2.60, 1 F 2.63
53 F 0.4192 0.0839 0.8575  2 Cr 2.37-2.43, 2 Ac 2.57-2.60, 1 F 2.63
54 F 0.4192 0.8353 0.5617  2 Cr 2.37-2.43, 2 Ac 2.57-2.60, 1 F 2.63
55 F 0.4383 0.3575 0.2736  2 Cr 2.37-2.43, 2 Ac 2.57-2.60, 1 F 2.63
56 F 0.4383 0.5808 0.1647  2 Cr 2.37-2.43, 2 Ac 2.57-2.60, 1 F 2.63
57 F 0.5617 0.4192 0.8353  2 Cr 2.37-2.43, 2 Ac 2.57-2.60, 1 F 2.63
58 F 0.5617 0.6425 0.7264  2 Cr 2.37-2.43, 2 Ac 2.57-2.60, 1 F 2.63
59 F 0.5808 0.1647 0.4383  2 Cr 2.37-2.43, 2 Ac 2.57-2.60, 1 F 2.63
60 F 0.5808 0.9161 0.1425  2 Cr 2.37-2.43, 2 Ac 2.57-2.60, 1 F 2.63
61 F 0.5839 0.1647 0.2264  2 Cr 2.37-2.43, 2 Ac 2.57-2.60, 1 F 2.63
62 F 0.5839 0.9192 0.3575  2 Cr 2.37-2.43, 2 Ac 2.57-2.60, 1 F 2.63
63 F 0.6425 0.4161 0.0808  2 Cr 2.37-2.43, 2 Ac 2.57-2.60, 1 F 2.63
64 F 0.6425 0.7264 0.5617  2 Cr 2.37-2.43, 2 Ac 2.57-2.60, 1 F 2.63
65 F 0.6647 0.0808 0.9383  2 Cr 2.37-2.43, 2 Ac 2.57-2.60, 1 F 2.63
66 F 0.6647 0.0839 0.7264  2 Cr 2.37-2.43, 2 Ac 2.57-2.60, 1 F 2.63
67 F 0.7264 0.5617 0.6425  2 Cr 2.37-2.43, 2 Ac 2.57-2.60, 1 F 2.63
68 F 0.7264 0.6647 0.0839  2 Cr 2.37-2.43, 2 Ac 2.57-2.60, 1 F 2.63
69 F 0.7736 0.4161 0.8353  2 Cr 2.37-2.43, 2 Ac 2.57-2.60, 1 F 2.63
70 F 0.7736 0.8575 0.9383  2 Cr 2.37-2.43, 2 Ac 2.57-2.60, 1 F 2.63
71 F 0.8353 0.5617 0.4192  2 Cr 2.37-2.43, 2 Ac 2.57-2.60, 1 F 2.63
72 F 0.8353 0.7736 0.4161  2 Cr 2.37-2.43, 2 Ac 2.57-2.60, 1 F 2.63
73 F 0.8575 0.4192 0.0839  2 Cr 2.37-2.43, 2 Ac 2.57-2.60, 1 F 2.63
74 F 0.8575 0.9383 0.7736  2 Cr 2.37-2.43, 2 Ac 2.57-2.60, 1 F 2.63
75 F 0.9161 0.1425 0.5808  2 Cr 2.37-2.43, 2 Ac 2.57-2.60, 1 F 2.63
76 F 0.9161 0.2736 0.3353  2 Cr 2.37-2.43, 2 Ac 2.57-2.60, 1 F 2.63
77 F 0.9192 0.0617 0.3353  2 Cr 2.37-2.43, 2 Ac 2.57-2.60, 1 F 2.63
78 F 0.9192 0.3575 0.5839  2 Cr 2.37-2.43, 2 Ac 2.57-2.60, 1 F 2.63
79 F 0.9383 0.6647 0.0808  2 Cr 2.37-2.43, 2 Ac 2.57-2.60, 1 F 2.63
80 F 0.9383 0.7736 0.8575  2 Cr 2.37-2.43, 2 Ac 2.57-2.60, 1 F 2.63

* space-group type: Ia-3d, No. 230
* magnetic moment: 104.53 μB per cell
* Fermi-level density of states: 0.038 states/eV/atom
* calculated total energy: -493.0 eV per cell